(1)
Material: Pr2SnSb
Method: DFT, PBE-GGA
State: relaxed

The structure in CIF format:
```
data_Pr2SnSb
_space_group_name_H-M_alt 'P 1'
_space_group_IT_number 1
_space_group_name_Hall 'P 1'
_cell_length_a 8.231
_cell_length_b 8.231
_cell_length_c 8.231
_cell_angle_alpha 31.31
_cell_angle_beta 31.31
_cell_angle_gamma 31.31
loop_
_atom_site_label
_atom_site_type_symbol
_atom_site_fract_x
_atom_site_fract_y
_atom_site_fract_z
Pr1 Pr 0.247 0.247 0.247
Pr2 Pr 0.753 0.753 0.753
Sn1 Sn 0.000 0.000 0.000
Sb1 Sb 0.500 0.500 0.500
```

Calculated values
formation energy (no corrections): -0.88 eV per atom
total moment: 0.00 μB/atom
E: -5.30 eV/atom
offset from the most stable computed form: 0.40 eV/f.u.



(2)
Material: Y2GaBr
Method: DFT, PBE-GGA
State: relaxed

The structure in CIF format:
```
data_Y2GaBr
_space_group_name_H-M_alt 'P 1'
_space_group_IT_number 1
_space_group_name_Hall 'P 1'
_cell_length_a 7.856
_cell_length_b 7.856
_cell_length_c 7.856
_cell_angle_alpha 30.49
_cell_angle_beta 30.49
_cell_angle_gamma 30.49
loop_
_atom_site_label
_atom_site_type_symbol
_atom_site_fract_x
_atom_site_fract_y
_atom_site_fract_z
Y1 Y 0.000 0.000 0.000
Y2 Y 0.195 0.195 0.195
Ga1 Ga 0.598 0.598 0.598
Br1 Br 0.427 0.427 0.427
```

Calculated values
formation energy (no corrections): -0.78 eV per atom
total moment: 0.00 μB/atom
E: -5.19 eV/atom
offset from the most stable computed form: 0.25 eV/f.u.



(3)
Material: VGaOsPd2
Method: DFT, PBE-GGA
State: relaxed

The structure in CIF format:
```
data_VGaOsPd2
_space_group_name_H-M_alt 'P 1'
_space_group_IT_number 1
_space_group_name_Hall 'P 1'
_cell_length_a 4.474
_cell_length_b 4.474
_cell_length_c 4.610
_cell_angle_alpha 90.00
_cell_angle_beta 90.00
_cell_angle_gamma 90.00
loop_
_atom_site_label
_atom_site_type_symbol
_atom_site_fract_x
_atom_site_fract_y
_atom_site_fract_z
V1 V 0.000 0.000 0.000
Ga1 Ga 0.000 0.000 0.500
Os1 Os 0.500 0.500 0.500
Pd1 Pd 0.000 0.500 0.000
Pd2 Pd 0.500 0.000 0.000
```

Calculated values
DFT formation energy: 1.3730 eV per atom
total moment: 0.36 μB/atom
E: -5.38 eV/atom



(4)
Material: BaY2PbN
Method: DFT, PBE-GGA
State: relaxed

The structure in CIF format:
```
data_BaY2PbN
_space_group_name_H-M_alt 'P 1'
_space_group_IT_number 1
_space_group_name_Hall 'P 1'
_cell_length_a 5.951
_cell_length_b 5.951
_cell_length_c 6.035
_cell_angle_alpha 90.00
_cell_angle_beta 90.00
_cell_angle_gamma 90.00
loop_
_atom_site_label
_atom_site_type_symbol
_atom_site_fract_x
_atom_site_fract_y
_atom_site_fract_z
Ba1 Ba 0.000 0.000 0.000
Y1 Y 0.000 0.500 0.000
Y2 Y 0.500 0.000 0.000
Pb1 Pb 0.000 0.000 0.500
N1 N 0.500 0.500 0.500
```

Calculated values
formation energy (no corrections): 2.08 eV per atom
total moment: 0.43 μB/atom
E: -3.30 eV/atom



(5)
Material: K2AuBr4
Method: DFT, PBE-GGA
State: relaxed

The structure in CIF format:
```
data_K2AuBr4
_space_group_name_H-M_alt 'P 1'
_space_group_IT_number 1
_space_group_name_Hall 'P 1'
_cell_length_a 9.174
_cell_length_b 9.174
_cell_length_c 9.174
_cell_angle_alpha 145.83
_cell_angle_beta 145.83
_cell_angle_gamma 49.10
loop_
_atom_site_label
_atom_site_type_symbol
_atom_site_fract_x
_atom_site_fract_y
_atom_site_fract_z
K1 K 0.137 0.137 0.000
K2 K 0.863 0.863 0.000
Au1 Au 0.500 0.500 0.000
Br1 Br 0.000 0.500 0.500
Br2 Br 0.335 0.335 0.000
Br3 Br 0.500 0.000 0.500
Br4 Br 0.665 0.665 0.000
```

Calculated values
formation energy (no corrections): -1.01 eV per atom
total moment: 0.00 μB/atom
E: -2.75 eV/atom



(6)
Material: TbSi2Pt
Method: DFT, PBE-GGA
State: relaxed

The structure in CIF format:
```
data_TbSi2Pt
_space_group_name_H-M_alt 'P 1'
_space_group_IT_number 1
_space_group_name_Hall 'P 1'
_cell_length_a 9.316
_cell_length_b 9.316
_cell_length_c 9.316
_cell_angle_alpha 153.47
_cell_angle_beta 125.63
_cell_angle_gamma 61.50
loop_
_atom_site_label
_atom_site_type_symbol
_atom_site_fract_x
_atom_site_fract_y
_atom_site_fract_z
Tb1 Tb 0.201 0.201 0.000
Tb2 Tb 0.240 0.000 0.240
Tb3 Tb 0.760 0.000 0.760
Tb4 Tb 0.799 0.799 0.000
Si1 Si 0.073 0.573 0.500
Si2 Si 0.153 0.801 0.352
Si3 Si 0.427 0.427 0.000
Si4 Si 0.449 0.801 0.648
Si5 Si 0.551 0.199 0.352
Si6 Si 0.573 0.573 0.000
Si7 Si 0.847 0.199 0.648
Si8 Si 0.927 0.427 0.500
Pt1 Pt 0.104 0.351 0.753
Pt2 Pt 0.402 0.649 0.753
Pt3 Pt 0.598 0.351 0.247
Pt4 Pt 0.896 0.649 0.247
```

Calculated values
formation energy (no corrections): -0.99 eV per atom
total moment: 0.00 μB/atom
E: -6.37 eV/atom



(7)
Material: CsNaAl2I8
Method: DFT, PBE-GGA
State: relaxed

The structure in CIF format:
```
data_CsNaAl2I8
_space_group_name_H-M_alt 'P 1'
_space_group_IT_number 1
_space_group_name_Hall 'P 1'
_cell_length_a 7.584
_cell_length_b 7.584
_cell_length_c 11.213
_cell_angle_alpha 90.00
_cell_angle_beta 90.00
_cell_angle_gamma 120.00
loop_
_atom_site_label
_atom_site_type_symbol
_atom_site_fract_x
_atom_site_fract_y
_atom_site_fract_z
Cs1 Cs 0.000 0.000 0.000
Na1 Na 0.000 0.000 0.500
Al1 Al 0.333 0.667 0.752
Al2 Al 0.667 0.333 0.248
I1 I 0.010 0.344 0.683
I2 I 0.333 0.667 0.981
I3 I 0.334 0.990 0.683
I4 I 0.344 0.334 0.317
I5 I 0.656 0.666 0.683
I6 I 0.666 0.010 0.317
I7 I 0.667 0.333 0.019
I8 I 0.990 0.656 0.317
```

Calculated values
formation energy (no corrections): -0.95 eV per atom
total moment: 0.00 μB/atom
E: -2.79 eV/atom



(8)
Material: MnTlV2Ge
Method: DFT, PBE-GGA
State: relaxed

The structure in CIF format:
```
data_MnTlV2Ge
_space_group_name_H-M_alt 'P 1'
_space_group_IT_number 1
_space_group_name_Hall 'P 1'
_cell_length_a 4.593
_cell_length_b 4.593
_cell_length_c 4.576
_cell_angle_alpha 90.00
_cell_angle_beta 90.00
_cell_angle_gamma 90.00
loop_
_atom_site_label
_atom_site_type_symbol
_atom_site_fract_x
_atom_site_fract_y
_atom_site_fract_z
Mn1 Mn 0.000 0.000 0.000
Tl1 Tl 0.500 0.500 0.000
V1 V 0.000 0.500 0.500
V2 V 0.500 0.000 0.500
Ge1 Ge 0.000 0.000 0.500
```

Calculated values
DFT formation energy: 0.7514 eV per atom
total moment: 0.17 μB/atom
E: -6.13 eV/atom